ZrCrAs2Se, relaxed, DFT PBE; SG = P4/mmm; formation energy without anion corrections = 0.866 eV per atom; energy = -26.63 eV per formula unit
1.0
5.156 0.000 0.000
0.000 5.156 0.000
0.000 0.000 5.139
Zr Cr As Se
1 1 2 1
Direct
0.000 0.000 0.000
0.500 0.500 0.500
0.000 0.500 0.000
0.500 0.000 0.000
0.000 0.000 0.500